#a
Si2RuW: relaxed, PBE.

```
Si2RuW
1.0
2.769 0.000 0.000
0.000 2.769 0.000
0.000 0.000 7.724
Si Ru W
2 1 1
direct
0.000 0.000 0.000
0.500 0.500 0.300
0.500 0.500 0.792
0.000 0.000 0.548
```

## Properties
The value obtained for the density of states at the Fermi level is 0.85 states/eV per atom. The space group is P4mm (99).

***

#b
Si2RuW: relaxed, PBE.

```
Si2RuW
1.0
1.448 0.836 7.908
-1.448 0.836 7.908
0.000 -1.672 7.908
Si Ru W
2 1 1
direct
0.000 0.000 0.000
0.251 0.251 0.251
0.509 0.509 0.509
0.752 0.752 0.752
```

## Properties
The value obtained for the density of states at the Fermi level is 0.36 states/eV per atom. The space group is R3m (160).

***

#c
Si2RuW: relaxed, PBE.

```
Si2RuW
1.0
2.980 0.000 0.000
0.000 2.980 0.000
0.000 0.000 6.059
Si Ru W
2 1 1
direct
0.000 0.000 0.241
0.000 0.000 0.759
0.500 0.500 0.000
0.500 0.500 0.500
```

## Properties
The value obtained for the density of states at the Fermi level is 0.66 states/eV per atom. The space group is P4/mmm (123).

***

Taking the most stable structure as the zero point, the relative energies in meV per atom are #a 329; #b 193; #c 0.

***

#a
Si2RuW: relaxed, PBE.

```
Si2RuW
1.0
-1.754 1.754 4.539
1.754 -1.754 4.539
1.754 1.754 -4.539
Si Ru W
2 1 1
direct
0.000 0.000 0.000
0.750 0.250 0.500
0.500 0.500 0.000
0.250 0.750 0.500
```

## Properties
The value obtained for the density of states at the Fermi level is 0.54 states/eV per atom. The space group is I-4m2 (119).

***

#b
Si2RuW: relaxed, PBE.

```
Si2RuW
1.0
1.414 0.816 8.089
-1.414 0.816 8.089
0.000 -1.632 8.089
Si Ru W
2 1 1
direct
0.244 0.244 0.244
0.756 0.756 0.756
0.500 0.500 0.500
0.000 0.000 0.000
```

## Properties
The value obtained for the density of states at the Fermi level is 0.75 states/eV per atom. The space group is R-3m (166).

***

Taking the most stable structure as the zero point, the relative energies in meV per atom are #a 54; #b 0.

***

#a
Si2RuW: relaxed, PBE.

```
Si2RuW
1.0
2.982 0.000 0.000
0.000 3.930 0.000
0.000 0.000 4.886
Si Ru W
2 1 1
direct
0.000 0.000 0.000
0.500 0.000 0.500
0.000 0.500 0.500
0.500 0.500 0.000
```

## Properties
The value obtained for the density of states at the Fermi level is 0.73 states/eV per atom. The space group is Pmmm (47).

***

#b
Si2RuW: relaxed, PBE.

```
Si2RuW
1.0
-1.424 2.479 4.072
1.424 -2.479 4.072
1.424 2.479 -4.072
Si Ru W
2 1 1
direct
0.238 0.238 0.000
0.762 0.762 0.000
0.000 0.500 0.500
0.500 0.000 0.500
```

## Properties
The value obtained for the density of states at the Fermi level is 0.76 states/eV per atom. The space group is Immm (71).

***

Taking the most stable structure as the zero point, the relative energies in meV per atom are #a 9; #b 0.

***

#a
Si3RuW: relaxed, PBE.

```
Si3RuW
1.0
4.552 0.000 0.000
0.000 4.552 0.000
0.000 0.000 4.552
Si Ru W
3 1 1
direct
0.000 0.000 0.500
0.000 0.500 0.000
0.500 0.000 0.000
0.000 0.000 0.000
0.500 0.500 0.500
```

## Properties
The value obtained for the density of states at the Fermi level is 0.79 states/eV per atom. The space group is Pm-3m (221).

***

#b
Si3RuW: relaxed, PBE.

```
Si3RuW
1.0
4.682 0.000 0.000
0.000 4.682 0.000
0.000 0.000 4.682
Si Ru W
3 1 1
direct
0.000 0.000 0.500
0.000 0.500 0.000
0.500 0.000 0.000
0.500 0.500 0.500
0.000 0.000 0.000
```

## Properties
The value obtained for the density of states at the Fermi level is 1.21 states/eV per atom. The space group is Pm-3m (221).

***

Taking the most stable structure as the zero point, the relative energies in meV per atom are #a 0; #b 5.

***

#a
YSi3Ru3: relaxed, PBE.

```
YSi3Ru3
1.0
6.467 0.000 0.000
0.000 6.467 0.000
0.000 0.000 6.467
Y Si Ru
2 6 6
direct
0.000 0.000 0.000
0.500 0.500 0.500
0.000 0.250 0.500
0.000 0.750 0.500
0.250 0.500 0.000
0.500 0.000 0.250
0.500 0.000 0.750
0.750 0.500 0.000
0.000 0.500 0.250
0.000 0.500 0.750
0.250 0.000 0.500
0.500 0.250 0.000
0.500 0.750 0.000
0.750 0.000 0.500
```

## Properties
The value obtained for the density of states at the Fermi level is 0.34 states/eV per atom. The space group is Pm-3n (223).

***

#b
YSi3Ru3: relaxed, PBE.

```
YSi3Ru3
1.0
3.285 1.896 6.680
-3.285 1.896 6.680
0.000 -3.793 6.680
Y Si Ru
2 6 6
direct
0.166 0.166 0.166
0.834 0.834 0.834
0.161 0.383 0.679
0.321 0.839 0.617
0.383 0.679 0.161
0.617 0.321 0.839
0.679 0.161 0.383
0.839 0.617 0.321
0.024 0.250 0.583
0.250 0.583 0.024
0.417 0.976 0.750
0.583 0.024 0.250
0.750 0.417 0.976
0.976 0.750 0.417
```

## Properties
The value obtained for the density of states at the Fermi level is 0.64 states/eV per atom. The space group is R-3 (148).

***

Taking the most stable structure as the zero point, the relative energies in meV per atom are #a 232; #b 0.

***

#a
Y2Si4Ru3: relaxed, PBE.

```
Y2Si4Ru3
1.0
2.882 -7.297 0.000
2.882 7.297 0.000
0.000 0.000 7.014
Y Si Ru
4 8 6
direct
0.111 0.889 0.907
0.389 0.611 0.407
0.611 0.389 0.593
0.889 0.111 0.093
0.180 0.820 0.520
0.189 0.311 0.750
0.311 0.189 0.250
0.320 0.680 0.020
0.680 0.320 0.980
0.689 0.811 0.750
0.811 0.689 0.250
0.820 0.180 0.480
0.000 0.000 0.500
0.023 0.477 0.750
0.477 0.023 0.250
0.500 0.500 0.000
0.523 0.977 0.750
0.977 0.523 0.250
```

## Properties
The value obtained for the density of states at the Fermi level is 0.56 states/eV per atom. The space group is Cmce (64).

***

#b
Y2Si4Ru3: relaxed, PBE.

```
Y2Si4Ru3
1.0
6.645 0.000 0.000
0.000 6.660 0.000
-2.577 0.000 6.551
Y Si Ru
4 8 6
direct
0.189 0.170 0.063
0.189 0.330 0.563
0.811 0.670 0.437
0.811 0.830 0.937
0.108 0.567 0.876
0.108 0.933 0.376
0.475 0.652 0.620
0.475 0.848 0.120
0.525 0.152 0.880
0.525 0.348 0.380
0.892 0.067 0.624
0.892 0.433 0.124
0.241 0.630 0.252
0.241 0.870 0.752
0.500 0.000 0.500
0.500 0.500 0.000
0.759 0.130 0.248
0.759 0.370 0.748
```

## Properties
The value obtained for the density of states at the Fermi level is 0.44 states/eV per atom. The space group is P2_1/c (14).

***

Taking the most stable structure as the zero point, the relative energies in meV per atom are #a 13; #b 0.

***

#a
ZrSi3Ru: relaxed, PBE.

```
ZrSi3Ru
1.0
4.947 0.000 0.000
0.000 4.947 0.000
0.000 0.000 4.947
Zr Si Ru
1 3 1
direct
0.000 0.000 0.000
0.000 0.000 0.500
0.000 0.500 0.000
0.500 0.000 0.000
0.500 0.500 0.500
```

## Properties
The value obtained for the density of states at the Fermi level is 0.93 states/eV per atom. The space group is Pm-3m (221).

***

#b
ZrSi3Ru: relaxed, PBE.

```
ZrSi3Ru
1.0
4.576 0.000 0.000
0.000 4.576 0.000
0.000 0.000 4.576
Zr Si Ru
1 3 1
direct
0.000 0.000 0.000
0.000 0.500 0.500
0.500 0.000 0.500
0.500 0.500 0.000
0.500 0.500 0.500
```

## Properties
The value obtained for the density of states at the Fermi level is 1.03 states/eV per atom. The space group is Pm-3m (221).

***

Taking the most stable structure as the zero point, the relative energies in meV per atom are #a 1017; #b 0.

***

#a
Tb2SmRu: relaxed, PBE.

```
Tb2SmRu
1.0
1.965 -6.046 0.000
1.965 6.046 0.000
0.000 0.000 9.222
Tb Sm Ru
4 2 2
direct
0.144 0.856 0.569
0.144 0.856 0.931
0.856 0.144 0.069
0.856 0.144 0.431
0.424 0.576 0.750
0.576 0.424 0.250
0.244 0.756 0.250
0.756 0.244 0.750
```

## Properties
The value obtained for the density of states at the Fermi level is 0.85 states/eV per atom. The space group is Cmcm (63).

***

#b
Tb2SmRu: relaxed, PBE.

```
Tb2SmRu
1.0
1.765 1.019 10.799
-1.765 1.019 10.799
0.000 -2.038 10.799
Tb Sm Ru
2 1 1
direct
0.108 0.108 0.108
0.892 0.892 0.892
0.000 0.000 0.000
0.500 0.500 0.500
```

## Properties
The value obtained for the density of states at the Fermi level is 1.60 states/eV per atom. The space group is R-3m (166).

***

Taking the most stable structure as the zero point, the relative energies in meV per atom are #a 0; #b 379.

***

#a
Tb2SmRu: relaxed, PBE.

```
Tb2SmRu
1.0
3.449 0.000 0.000
0.000 3.449 0.000
0.000 0.000 9.068
Tb Sm Ru
2 1 1
direct
0.000 0.000 0.182
0.000 0.000 0.818
0.500 0.500 0.500
0.500 0.500 0.000
```

## Properties
The value obtained for the density of states at the Fermi level is 0.78 states/eV per atom. The space group is P4/mmm (123).

***

#b
Tb2SmRu: relaxed, PBE.

```
Tb2SmRu
1.0
7.334 0.000 0.000
0.000 9.326 0.000
0.000 0.000 6.391
Tb Sm Ru
8 4 4
direct
0.177 0.066 0.169
0.177 0.434 0.169
0.323 0.566 0.669
0.323 0.934 0.669
0.677 0.066 0.331
0.677 0.434 0.331
0.823 0.566 0.831
0.823 0.934 0.831
0.041 0.250 0.635
0.459 0.750 0.135
0.541 0.250 0.865
0.959 0.750 0.365
0.114 0.750 0.953
0.386 0.250 0.453
0.614 0.750 0.547
0.886 0.250 0.047
```

## Properties
The value obtained for the density of states at the Fermi level is 0.85 states/eV per atom. The space group is Pnma (62).

***

Taking the most stable structure as the zero point, the relative energies in meV per atom are #a 88; #b 0.

***

#a
Tb3SmRu2: relaxed, PBE.

```
Tb3SmRu2
1.0
-3.390 6.792 3.532
3.390 -6.792 3.532
3.390 6.792 -3.532
Tb Sm Ru
6 2 4
direct
0.012 0.750 0.262
0.250 0.250 0.000
0.488 0.750 0.738
0.512 0.250 0.262
0.750 0.750 0.000
0.988 0.250 0.738
0.000 0.500 0.500
0.500 0.000 0.500
0.134 0.223 0.357
0.366 0.723 0.089
0.634 0.277 0.911
0.866 0.777 0.643
```

## Properties
The value obtained for the density of states at the Fermi level is 0.41 states/eV per atom. The space group is Ibam (72).

***

#b
Tb3SmRu2: relaxed, PBE.

```
Tb3SmRu2
1.0
4.485 0.000 0.000
0.000 8.815 0.000
0.000 0.000 7.452
Tb Sm Ru
6 2 4
direct
0.000 0.084 0.000
0.000 0.322 0.373
0.000 0.678 0.873
0.000 0.916 0.500
0.500 0.174 0.664
0.500 0.826 0.164
0.500 0.415 0.036
0.500 0.585 0.536
0.000 0.351 0.767
0.000 0.649 0.267
0.500 0.145 0.270
0.500 0.855 0.770
```

## Properties
The value obtained for the density of states at the Fermi level is 0.61 states/eV per atom. The space group is Pmc2_1 (26).

***

Taking the most stable structure as the zero point, the relative energies in meV per atom are #a 94; #b 0.

***

#a
TbSm2Ru2: relaxed, PBE.

```
TbSm2Ru2
1.0
2.137 -5.738 0.000
2.137 5.738 0.000
0.000 0.000 9.989
Tb Sm Ru
2 4 4
direct
0.146 0.854 0.500
0.854 0.146 0.000
0.147 0.853 0.871
0.406 0.594 0.685
0.594 0.406 0.185
0.853 0.147 0.371
0.311 0.689 0.182
0.498 0.502 0.937
0.502 0.498 0.437
0.689 0.311 0.682
```

## Properties
The value obtained for the density of states at the Fermi level is 0.57 states/eV per atom. The space group is Cmc2_1 (36).

***

#b
TbSm2Ru2: relaxed, PBE.

```
TbSm2Ru2
1.0
-2.174 3.093 4.445
2.174 -3.093 4.445
2.174 3.093 -4.445
Tb Sm Ru
1 2 2
direct
0.000 0.000 0.000
0.302 0.802 0.500
0.698 0.198 0.500
0.283 0.500 0.783
0.717 0.500 0.217
```

## Properties
The value obtained for the density of states at the Fermi level is 0.80 states/eV per atom. The space group is Immm (71).

***

Taking the most stable structure as the zero point, the relative energies in meV per atom are #a 28; #b 0.